[1]
{"formula": "Zn3CN", "functional": "PBE-GGA", "state": "relaxed", "total_energy_ev_per_atom": -3.243, "n_ef_per_ev_atom": 0.62, "e_form_raw_ev_per_atom": 1.03, "density_g_cm3": 5.824, "space_group": "Pm-3m (221)", "crystal_system": "cubic", "cell": [[3.9869, 0.0000, 0.0000], [0.0000, 3.9869, 0.0000], [0.0000, 0.0000, 3.9869]], "species": ["Zn", "Zn", "Zn", "C", "N"], "frac_coords": [[0.0000, 0.0000, 0.5000], [0.0000, 0.5000, 0.0000], [0.5000, 0.0000, 0.0000], [0.0000, 0.0000, 0.0000], [0.5000, 0.5000, 0.5000]]}

***

[2]
{"formula": "Zn2CN", "functional": "PBE-GGA", "state": "relaxed", "total_energy_ev_per_atom": -3.876, "n_ef_per_ev_atom": 0.75, "e_form_raw_ev_per_atom": 1.15, "density_g_cm3": 5.246, "space_group": "I-42d (122)", "crystal_system": "tetragonal", "cell": [[-2.4396, 2.4396, 4.1701], [2.4396, -2.4396, 4.1701], [2.4396, 2.4396, -4.1701]], "species": ["Zn", "Zn", "Zn", "Zn", "C", "C", "N", "N"], "frac_coords": [[0.1100, 0.6250, 0.9850], [0.3750, 0.3600, 0.4850], [0.6400, 0.1250, 0.0150], [0.8750, 0.8900, 0.5150], [0.2500, 0.7500, 0.5000], [0.5000, 0.5000, 0.0000], [0.0000, 0.0000, 0.0000], [0.7500, 0.2500, 0.5000]]}

***

[3]
{"formula": "Zn2CN", "functional": "PBE-GGA", "state": "relaxed", "total_energy_ev_per_atom": -3.427, "n_ef_per_ev_atom": 0.76, "e_form_raw_ev_per_atom": 1.60, "density_g_cm3": 6.335, "space_group": "Fm-3m (225)", "crystal_system": "cubic", "cell": [[0.0000, 2.7392, 2.7392], [2.7392, 0.0000, 2.7392], [2.7392, 2.7392, 0.0000]], "species": ["Zn", "Zn", "C", "N"], "frac_coords": [[0.2500, 0.2500, 0.2500], [0.7500, 0.7500, 0.7500], [0.0000, 0.0000, 0.0000], [0.5000, 0.5000, 0.5000]]}

***

[4]
{"formula": "Zr6ZnC3N2", "functional": "PBE-GGA", "state": "relaxed", "total_energy_ev_per_atom": -8.951, "n_ef_per_ev_atom": 0.34, "e_form_raw_ev_per_atom": -0.88, "density_g_cm3": 6.727, "space_group": "C2/m (12)", "crystal_system": "monoclinic", "cell": [[7.3728, -1.6826, 0.0000], [7.3728, 1.6826, 0.0000], [-1.5078, 0.0000, 6.7330]], "species": ["Zr", "Zr", "Zr", "Zr", "Zr", "Zr", "Zn", "C", "C", "C", "N", "N"], "frac_coords": [[0.0032, 0.0032, 0.2837], [0.3216, 0.3216, 0.9054], [0.3315, 0.3315, 0.4132], [0.6685, 0.6685, 0.5868], [0.6784, 0.6784, 0.0946], [0.9968, 0.9968, 0.7163], [0.5000, 0.5000, 0.0000], [0.1674, 0.1674, 0.8331], [0.5000, 0.5000, 0.5000], [0.8326, 0.8326, 0.1669], [0.1714, 0.1714, 0.3410], [0.8286, 0.8286, 0.6590]]}

***

[5]
{"formula": "Zr9C2N4", "functional": "PBE-GGA", "state": "relaxed", "total_energy_ev_per_atom": -9.709, "n_ef_per_ev_atom": 0.70, "e_form_raw_ev_per_atom": -1.13, "density_g_cm3": 6.661, "space_group": "P-3c1 (165)", "crystal_system": "trigonal", "cell": [[5.7090, 0.0000, 0.0000], [-2.8545, 4.9441, 0.0000], [0.0000, 0.0000, 15.9155]], "species": ["Zr", "Zr", "Zr", "Zr", "Zr", "Zr", "Zr", "Zr", "Zr", "Zr", "Zr", "Zr", "Zr", "Zr", "Zr", "Zr", "Zr", "Zr", "C", "C", "C", "C", "N", "N", "N", "N", "N", "N", "N", "N"], "frac_coords": [[0.0000, 0.3275, 0.2500], [0.0000, 0.6725, 0.7500], [0.0086, 0.3452, 0.9163], [0.0086, 0.6634, 0.4163], [0.3275, 0.0000, 0.2500], [0.3275, 0.3275, 0.7500], [0.3366, 0.3452, 0.4163], [0.3366, 0.9914, 0.9163], [0.3452, 0.0086, 0.5837], [0.3452, 0.3366, 0.0837], [0.6548, 0.6634, 0.9163], [0.6548, 0.9914, 0.4163], [0.6634, 0.0086, 0.0837], [0.6634, 0.6548, 0.5837], [0.6725, 0.0000, 0.7500], [0.6725, 0.6725, 0.2500], [0.9914, 0.3366, 0.5837], [0.9914, 0.6548, 0.0837], [0.0000, 0.0000, 0.1604], [0.0000, 0.0000, 0.3396], [0.0000, 0.0000, 0.6604], [0.0000, 0.0000, 0.8396], [0.3333, 0.6667, 0.0057], [0.3333, 0.6667, 0.3286], [0.3333, 0.6667, 0.5057], [0.3333, 0.6667, 0.8286], [0.6667, 0.3333, 0.1714], [0.6667, 0.3333, 0.4943], [0.6667, 0.3333, 0.6714], [0.6667, 0.3333, 0.9943]]}

***

[6]
{"formula": "Zr5C2N", "functional": "PBE-GGA", "state": "relaxed", "total_energy_ev_per_atom": -9.393, "n_ef_per_ev_atom": 0.47, "e_form_raw_ev_per_atom": -0.70, "density_g_cm3": 6.114, "space_group": "Cmcm (63)", "crystal_system": "orthorhombic", "cell": [[2.3040, -5.3002, 0.0000], [2.3040, 5.3002, 0.0000], [0.0000, 0.0000, 10.9899]], "species": ["Zr", "Zr", "Zr", "Zr", "Zr", "Zr", "Zr", "Zr", "Zr", "Zr", "C", "C", "C", "C", "N", "N"], "frac_coords": [[0.0522, 0.9478, 0.6206], [0.0522, 0.9478, 0.8794], [0.2544, 0.7456, 0.2500], [0.3345, 0.6655, 0.5680], [0.3345, 0.6655, 0.9320], [0.6655, 0.3345, 0.0680], [0.6655, 0.3345, 0.4320], [0.7456, 0.2544, 0.7500], [0.9478, 0.0522, 0.1206], [0.9478, 0.0522, 0.3794], [0.1547, 0.8453, 0.0574], [0.1547, 0.8453, 0.4426], [0.8453, 0.1547, 0.5574], [0.8453, 0.1547, 0.9426], [0.2262, 0.7738, 0.7500], [0.7738, 0.2262, 0.2500]]}

***

Which size of the total moment belongs to each record? In order, 1.0 0.0 0.0 0.0 0.0 0.0 μB/f.u..